[1]
The following is a DFT calculation (PBE-GGA) of crystalline AlGa2Au4 at its relaxed geometry.

Values from the calculation:
excess energy over the best structure of this formula in the dataset: 1.96 eV per formula unit
crystal system: tetragonal
DFT formation energy: 0.5 eV per formula unit
DOS at the Fermi energy: 2.65 states/eV/cell
E: -22.4 eV for the cell shown
space-group type: I4/mmm, No. 139

Cell lengths 5.0314, 5.0314, 7.3034 Å; angles 69.85, 69.85, 90.00 degrees
Last column: nearest neighbours and their distance in Å.
Atoms (fractional coordinates):
1 Al 0.0000 0.0000 0.0000  6 Au 2.49-2.52
2 Au 0.0000 0.5000 0.0000  2 Al 2.52
3 Ga 0.6094 0.6094 0.7811  1 Au 2.49
4 Au 0.1954 0.1954 0.6092  1 Ga 2.49, 1 Al 2.49
5 Au 0.8046 0.8046 0.3908  1 Ga 2.49, 1 Al 2.49
6 Au 0.5000 0.0000 0.0000  2 Al 2.52
7 Ga 0.3906 0.3906 0.2189  1 Au 2.49



[2]
The following is a DFT calculation (PBE-GGA) of crystalline Sm5PdSe8 at its relaxed geometry.

Values from the calculation:
formation energy without anion corrections: -1.628 eV/atom
crystal system: tetragonal
DOS at the Fermi energy: 3.12 states/eV/cell
E: -79.5 eV for the cell shown
space-group type: I-4, No. 82

Cell lengths 7.6394, 7.6394, 7.6394 Å; angles 110.32, 107.78, 110.32 degrees
Last column: nearest neighbours and their distance in Å.
Atoms (fractional coordinates):
1 Se 0.7408 0.2334 0.3441  5 Sm 2.92-3.13
2 Se 0.1542 0.7485 0.0142  1 Pd 2.72, 2 Sm 2.89-3.00
3 Se 0.1107 0.7666 0.5074  5 Sm 2.92-3.13
4 Se 0.6559 0.3967 0.8893  5 Sm 2.92-3.13
5 Pd 0.2500 0.5000 0.7500  4 Se 2.72
6 Se 0.5944 0.8600 0.8458  1 Pd 2.72, 2 Sm 2.89-3.00
7 Sm 0.3637 0.1216 0.9793  7 Se 2.89-3.20
8 Se 0.2657 0.2515 0.4056  1 Pd 2.72, 2 Sm 2.89-3.00
9 Sm 0.0207 0.3844 0.1423  7 Se 2.89-3.20
10 Se 0.4926 0.6033 0.2592  5 Sm 2.92-3.13
11 Sm 0.7579 0.6156 0.6363  7 Se 2.89-3.20
12 Sm 0.5000 0.0000 0.5000  8 Se 2.92-3.16
13 Se 0.9858 0.1400 0.7343  1 Pd 2.72, 2 Sm 2.89-3.00
14 Sm 0.8577 0.8784 0.2421  7 Se 2.89-3.20



[3]
The following is a DFT calculation (PBE-GGA) of crystalline NdZnCo at its relaxed geometry.

Values from the calculation:
crystal system: monoclinic
DFT formation energy: -0.6 eV per formula unit
DOS at the Fermi energy: 5.71 states/eV/cell
E: -27.5 eV for the cell shown
space-group type: C2/m, No. 12

Cell lengths 4.0093, 5.0896, 6.3476 Å; angles 104.24, 108.39, 90.01 degrees
Last column: nearest neighbours and their distance in Å.
Atoms (fractional coordinates):
1 Co 0.2211 0.8849 0.4421  2 Co 2.34, 3 Zn 2.49-2.53
2 Co 0.7789 0.1151 0.5579  2 Co 2.34, 3 Zn 2.49-2.53
3 Zn 0.4105 0.2271 0.8212  3 Co 2.49-2.53
4 Zn 0.5895 0.7729 0.1788  3 Co 2.49-2.53
5 Nd 0.1212 0.3102 0.2423  2 Co 2.74-2.86
6 Nd 0.8788 0.6898 0.7577  2 Co 2.74-2.86



[4]
The following is a DFT calculation (PBE-GGA) of crystalline RbGeP at its relaxed geometry.

Values from the calculation:
crystal system: monoclinic
DFT formation energy: -0.8 eV per formula unit
DOS at the Fermi energy: 0.00 states/eV/cell
E: -47.1 eV for the cell shown
space-group type: Cm, No. 8

Cell lengths 7.0882, 6.9947, 12.4527 Å; angles 90.00, 124.66, 90.00 degrees
Last column: nearest neighbours and their distance in Å.
Atoms (fractional coordinates):
1 Rb 0.6956 0.5000 0.2826  3 P 3.54-3.77, 4 Ge 3.62
2 Ge 0.7457 0.6853 0.0283  2 P 2.42, 1 Ge 2.59
3 Rb 0.6956 0.0000 0.7826  3 P 3.54-3.77, 4 Ge 3.62
4 P 0.0953 0.5000 0.1325  1 P 2.21, 2 Ge 2.42
5 Ge 0.7457 0.3147 0.0283  2 P 2.42, 1 Ge 2.59
6 P 0.0953 0.0000 0.6325  1 P 2.21, 2 Ge 2.42
7 Rb 0.1872 0.0000 0.2736  3 P 3.56-3.80, 4 Ge 3.62
8 P 0.8727 0.0000 0.4165  1 P 2.21, 2 Ge 2.42
9 P 0.8727 0.5000 0.9165  1 P 2.21, 2 Ge 2.42
10 Ge 0.7457 0.1853 0.5283  2 P 2.42, 1 Ge 2.59
11 Ge 0.7457 0.8147 0.5283  2 P 2.42, 1 Ge 2.59
12 Rb 0.1872 0.5000 0.7736  3 P 3.56-3.80, 4 Ge 3.62



[5]
The following is a DFT calculation (PBE-GGA) of crystalline Y2ReSb at its relaxed geometry.

Values from the calculation:
formation energy without anion corrections: 0.162 eV/atom
crystal system: orthorhombic
DOS at the Fermi energy: 4.45 states/eV/cell
E: -28.9 eV for the cell shown
space-group type: Pmm2, No. 25

Cell lengths 3.4193, 4.7789, 6.2274 Å; angles 90.00, 90.00, 90.00 degrees
Last column: nearest neighbours and their distance in Å.
Atoms (fractional coordinates):
1 Y 0.0000 0.0000 0.9698  1 Re 2.79
2 Sb 0.5000 0.5000 0.7980  6 Y 3.01-3.21
3 Y 0.5000 0.5000 0.3142  4 Re 3.01, 2 Sb 3.01-3.21
4 Re 0.0000 0.0000 0.4180  5 Y 2.79-3.01



[6]
The following is a DFT calculation (PBE-GGA) of crystalline CsK12Au5 at its relaxed geometry.

Values from the calculation:
crystal system: orthorhombic
DFT formation energy: -2.9 eV per formula unit
DOS at the Fermi energy: 9.17 states/eV/cell
E: -33.3 eV for the cell shown
space-group type: Immm, No. 71

Cell lengths 10.4710, 10.4710, 10.4710 Å; angles 102.66, 115.23, 110.76 degrees
Last column: nearest neighbours and their distance in Å.
Atoms (fractional coordinates):
1 K 0.5547 0.8350 0.7197  3 Au 3.46-3.71
2 K 0.4453 0.1650 0.2803  3 Au 3.46-3.71
3 K 0.6736 0.6836 0.3572  3 Au 3.34-3.42
4 Au 0.0000 0.0000 0.0000  8 K 3.46-3.71
5 Au 0.5000 0.1091 0.6091  1 Au 2.86
6 Au 0.5000 0.8909 0.3909  1 Au 2.86
7 K 0.8055 0.6089 0.8035  2 Au 3.36-3.46
8 K 0.8848 0.1650 0.7197  3 Au 3.46-3.71
9 K 0.1945 0.9980 0.8035  2 Au 3.36-3.46
10 Au 0.6235 0.6235 0.0000  1 Au 2.94
11 Cs 0.0000 0.5000 0.5000  12 K 4.38-4.69
12 Au 0.3765 0.3765 0.0000  1 Au 2.94
13 K 0.8055 0.0020 0.1965  2 Au 3.36-3.46
14 K 0.1945 0.3911 0.1965  2 Au 3.36-3.46
15 K 0.3264 0.6836 0.0099  3 Au 3.34-3.42
16 K 0.1152 0.8350 0.2803  3 Au 3.46-3.71
17 K 0.3264 0.3164 0.6428  3 Au 3.34-3.42
18 K 0.6736 0.3164 0.9901  3 Au 3.34-3.42



[7]
The following is a DFT calculation (PBE-GGA) of crystalline Y2Be at its relaxed geometry.

Values from the calculation:
excess energy over the best structure of this formula in the dataset: 2.85 eV per formula unit
crystal system: cubic
DFT formation energy: 3.0 eV per formula unit
DOS at the Fermi energy: 4.34 states/eV/cell
E: -27.3 eV for the cell shown
space-group type: Fd-3m, No. 227

Cell lengths 6.1247, 6.1247, 6.1247 Å; angles 60.00, 60.00, 60.00 degrees
Last column: nearest neighbours and their distance in Å.
Atoms (fractional coordinates):
1 Y 0.6250 0.1250 0.1250  6 Y 3.06
2 Be 0.7500 0.7500 0.7500  12 Y 3.59, 4 Be 3.75
3 Y 0.1250 0.1250 0.1250  6 Y 3.06
4 Be 0.5000 0.5000 0.5000  12 Y 3.59, 4 Be 3.75
5 Y 0.1250 0.6250 0.1250  6 Y 3.06
6 Y 0.1250 0.1250 0.6250  6 Y 3.06



[8]
The following is a DFT calculation (PBE-GGA) of crystalline AlReMo2 at its relaxed geometry.

Values from the calculation:
crystal system: monoclinic
DFT formation energy: -0.1 eV per formula unit
DOS at the Fermi energy: 3.39 states/eV/cell
E: -38.0 eV for the cell shown
space-group type: C2/m, No. 12

Cell lengths 5.1588, 5.1588, 2.7226 Å; angles 80.93, 80.93, 117.76 degrees
Last column: nearest neighbours and their distance in Å.
Atoms (fractional coordinates):
1 Al 0.0000 0.5000 0.5000  2 Re 2.67, 4 Mo 2.72, 2 Al 2.72
2 Mo 0.0000 0.0000 0.0000  4 Mo 2.67-2.72, 2 Al 2.72, 2 Re 2.72
3 Re 0.5000 0.0000 0.5000  2 Al 2.67, 4 Mo 2.72, 2 Re 2.72
4 Mo 0.5000 0.5000 0.0000  4 Mo 2.67-2.72, 2 Re 2.72, 2 Al 2.72



[9]
The following is a DFT calculation (PBE-GGA) of crystalline ReSiSn2Cl at its relaxed geometry.

Values from the calculation:
formation energy without anion corrections: 1.409 eV/atom
crystal system: tetragonal
DOS at the Fermi energy: 3.94 states/eV/cell
E: -20.7 eV for the cell shown
space-group type: P4/mmm, No. 123

Cell lengths 5.4535, 4.2686, 5.4535 Å; angles 90.00, 90.00, 90.00 degrees
Last column: nearest neighbours and their distance in Å.
Atoms (fractional coordinates):
1 Sn 0.5000 0.0000 0.0000  2 Cl 2.73
2 Cl 0.0000 0.0000 0.0000  2 Re 2.13
3 Sn 0.0000 0.0000 0.5000  2 Cl 2.73
4 Si 0.5000 0.5000 0.5000  8 Sn 3.46, 4 Re 3.86
5 Re 0.0000 0.5000 0.0000  2 Cl 2.13



[10]
The following is a DFT calculation (PBE-GGA) of crystalline Ba2CdTc at its relaxed geometry.

Values from the calculation:
excess energy over the best structure of this formula in the dataset: 0.51 eV per formula unit
crystal system: tetragonal
DFT formation energy: 2.3 eV per formula unit
DOS at the Fermi energy: 4.10 states/eV/cell
E: -12.8 eV for the cell shown
space-group type: P4/mmm, No. 123

Cell lengths 5.8214, 5.8213, 3.9782 Å; angles 90.00, 90.00, 90.00 degrees
Last column: nearest neighbours and their distance in Å.
Atoms (fractional coordinates):
1 Ba 0.5000 0.5000 0.0000  4 Cd 3.53, 4 Tc 3.53
2 Ba 0.0000 0.0000 0.0000  4 Tc 3.53, 4 Cd 3.53
3 Cd 0.5000 0.0000 0.5000  8 Ba 3.53
4 Tc 0.0000 0.5000 0.5000  8 Ba 3.53



[11]
The following is a DFT calculation (PBE-GGA) of crystalline TcPCO2 at its relaxed geometry.

Values from the calculation:
formation energy without anion corrections: 0.521 eV/atom
excess energy over the best structure of this formula in the dataset: 0.00 eV per formula unit
crystal system: tetragonal
DOS at the Fermi energy: 3.97 states/eV/cell
E: -32.3 eV for the cell shown
space-group type: P4/mmm, No. 123

Cell lengths 3.6521, 3.6521, 5.1990 Å; angles 90.00, 90.00, 90.00 degrees
Last column: nearest neighbours and their distance in Å.
Atoms (fractional coordinates):
1 P 0.0000 0.0000 0.5000  4 C 2.58, 2 Tc 2.60
2 O 0.5000 0.0000 0.0000  2 Tc 1.83
3 O 0.0000 0.5000 0.0000  2 Tc 1.83
4 C 0.5000 0.5000 0.5000  4 P 2.58
5 Tc 0.0000 0.0000 0.0000  4 O 1.83



[12]
The following is a DFT calculation (PBE-GGA) of crystalline NaAcZn10 at its relaxed geometry.

Values from the calculation:
crystal system: orthorhombic
DFT formation energy: -1.7 eV per formula unit
DOS at the Fermi energy: 5.71 states/eV/cell
E: -19.9 eV for the cell shown
space-group type: Pmmm, No. 47

Cell lengths 4.3718, 5.3027, 9.6518 Å; angles 90.00, 90.00, 90.00 degrees
Last column: nearest neighbours and their distance in Å.
Atoms (fractional coordinates):
1 Ac 0.0000 0.5000 0.5000  18 Zn 3.26-3.47
2 Zn 0.0000 0.5000 0.8488  7 Zn 2.63-2.92
3 Zn 0.5000 0.5000 0.0000  8 Zn 2.63-2.79
4 Zn 0.0000 0.5000 0.1512  7 Zn 2.63-2.92
5 Na 0.0000 0.0000 0.0000  6 Zn 2.93-3.03
6 Zn 0.5000 0.0000 0.5000  8 Zn 2.72-2.90
7 Zn 0.5000 0.2563 0.7443  8 Zn 2.58-2.79
8 Zn 0.0000 0.0000 0.6968  6 Zn 2.61-2.90, 1 Na 2.93
9 Zn 0.0000 0.0000 0.3032  6 Zn 2.61-2.90, 1 Na 2.93
10 Zn 0.5000 0.7437 0.7443  8 Zn 2.58-2.79
11 Zn 0.5000 0.2563 0.2557  8 Zn 2.58-2.79
12 Zn 0.5000 0.7437 0.2557  8 Zn 2.58-2.79



Question: Which of these has the lowest E?
Answer: Sm5PdSe8